Density functional theory data (PBE) for PmB2Se4 after structural relaxation.

## Properties
formation energy (no corrections): -392.1 meV per atom
crystal system: tetragonal
DOS(E_F): 4.4 states/eV/f.u.
uncorrected energy: -0.1826 Ha/atom

Unit cell a=7.4146 b=7.4146 c=5.4161 alpha=90.00 beta=90.00 gamma=90.00
Space group I4/m (No. 87)
Asymmetric unit:
Pm 0.0000 0.0000 0.0000 x2
B 0.0000 0.5000 0.2500 x4
Se 0.1293 0.6721 0.5000 x8

Density functional theory data (PBE) for PmBSe after structural relaxation.

## Properties
formation energy (no corrections): -542.4 meV per atom
crystal system: monoclinic
DOS(E_F): 0.6 states/eV/f.u.
uncorrected energy: -0.2026 Ha/atom

Unit cell a=6.3258 b=3.8815 c=10.7331 alpha=90.00 beta=101.72 gamma=90.00
Space group C2/m (No. 12)
Asymmetric unit:
Pm 0.0606 0.0000 0.1904 x4
B 0.1466 0.5000 0.9995 x4
Se 0.0395 0.5000 0.6424 x4

Density functional theory data (PBE) for PmBSe3 after structural relaxation.

## Properties
formation energy (no corrections): -888.3 meV per atom
crystal system: monoclinic
uncorrected energy: -0.1935 Ha/atom

Unit cell a=11.4641 b=8.6389 c=4.5512 alpha=90.00 beta=92.79 gamma=90.00
Space group C2/m (No. 12)
Asymmetric unit:
Pm 0.2178 0.0000 0.2457 x4
B 0.0000 0.3331 0.5000 x4
Se 0.0940 0.5000 0.2740 x4
Se 0.1271 0.2073 0.7287 x8

Density functional theory data (PBE) for PmBSe4 after structural relaxation.

## Properties
formation energy (no corrections): -535.1 meV per atom
crystal system: tetragonal
DOS(E_F): 7.9 states/eV/f.u.
uncorrected energy: -0.1750 Ha/atom

Unit cell a=9.2776 b=9.2776 c=7.2795 alpha=90.00 beta=90.00 gamma=90.00
Space group I4_1/amd (No. 141, origin choice 2)
Asymmetric unit:
Pm 0.0000 0.2500 0.3750 x4
B 0.0000 0.2500 0.8750 x4
Se 0.0000 0.0703 0.7106 x16

Density functional theory data (PBE) for PmSiB after structural relaxation.

## Properties
formation energy (no corrections): -593.8 meV per atom
crystal system: orthorhombic
DOS(E_F): 0.4 states/eV/f.u.
uncorrected energy: -0.2282 Ha/atom

Unit cell a=3.5836 b=6.3234 c=8.6650 alpha=90.00 beta=90.00 gamma=90.00
Space group Immm (No. 71)
Asymmetric unit:
Pm 0.0000 0.0000 0.2495 x4
Si 0.0000 0.3100 0.5000 x4
B 0.0000 0.3618 0.0000 x4

Density functional theory data (PBE) for Pm4Si2B after structural relaxation.

## Properties
formation energy (no corrections): -251.0 meV per atom
crystal system: tetragonal
DOS(E_F): 5.5 states/eV/f.u.
uncorrected energy: -0.2010 Ha/atom

Unit cell a=4.8595 b=4.8595 c=15.7985 alpha=90.00 beta=90.00 gamma=90.00
Space group I4/mmm (No. 139)
Asymmetric unit:
Pm 0.0000 0.0000 0.1766 x4
Pm 0.0000 0.5000 0.0000 x4
Si 0.0000 0.0000 0.3658 x4
B 0.0000 0.0000 0.0000 x2

Density functional theory data (PBE) for Pm3SiB4 after structural relaxation.

## Properties
formation energy (no corrections): -170.5 meV per atom
crystal system: orthorhombic
DOS(E_F): 4.4 states/eV/f.u.
uncorrected energy: -0.2193 Ha/atom

Unit cell a=4.0918 b=4.8855 c=13.6053 alpha=90.00 beta=90.00 gamma=90.00
Space group Immm (No. 71)
Asymmetric unit:
Pm 0.0000 0.0000 0.0000 x2
Pm 0.0000 0.5000 0.1861 x4
Si 0.0000 0.0000 0.5000 x2
B 0.0000 0.3346 0.3813 x8

Density functional theory data (PBE) for PmSiB after structural relaxation.

## Properties
formation energy (no corrections): -624.3 meV per atom
crystal system: hexagonal
DOS(E_F): 0.3 states/eV/f.u.
uncorrected energy: -0.2294 Ha/atom

Unit cell a=3.5968 b=3.5968 c=4.3270 alpha=90.00 beta=90.00 gamma=120.00
Space group P-6m2 (No. 187)
Asymmetric unit:
Pm 0.0000 0.0000 0.0000 x1
Si 0.6667 0.3333 0.5000 x1
B 0.3333 0.6667 0.5000 x1

Density functional theory data (PBE) for PmSiB after structural relaxation.

## Properties
formation energy (no corrections): 40.5 meV per atom
crystal system: orthorhombic
DOS(E_F): 2.3 states/eV/f.u.
uncorrected energy: -0.2049 Ha/atom

Unit cell a=4.5888 b=5.9044 c=16.7615 alpha=90.00 beta=90.00 gamma=90.00
Space group Fmmm (No. 69)
Asymmetric unit:
Pm 0.0000 0.0000 0.1012 x8
Si 0.2500 0.2500 0.2500 x8
B 0.0000 0.1347 0.5000 x8

Density functional theory data (PBE) for Pm12Si6B after structural relaxation.

## Properties
formation energy (no corrections): -365.8 meV per atom
crystal system: trigonal
DOS(E_F): 14.3 states/eV/f.u.
uncorrected energy: -0.1996 Ha/atom

Unit cell a=12.7623 b=12.7623 c=12.1138 alpha=90.00 beta=90.00 gamma=120.00
Space group R-3 (No. 148, hexagonal axes)
Asymmetric unit:
Pm 0.0336 0.8253 0.3947 x18
Pm 0.0491 0.8483 0.8873 x18
Si 0.0484 0.7795 0.6531 x18
B 0.0000 0.0000 0.0000 x3

Density functional theory data (PBE) for PmSiB2 after structural relaxation.

## Properties
formation energy (no corrections): -380.5 meV per atom
crystal system: orthorhombic
DOS(E_F): 1.5 states/eV/f.u.
uncorrected energy: -0.2301 Ha/atom

Unit cell a=3.4040 b=11.2429 c=6.0067 alpha=90.00 beta=90.00 gamma=90.00
Space group Cmcm (No. 63)
Asymmetric unit:
Pm 0.0000 0.1309 0.2500 x4
Si 0.0000 0.1415 0.7500 x4
B 0.0000 0.4504 0.1061 x8

Density functional theory data (PBE) for PmSiB after structural relaxation.

## Properties
formation energy (no corrections): -481.3 meV per atom
crystal system: monoclinic
DOS(E_F): 0.7 states/eV/f.u.
uncorrected energy: -0.2241 Ha/atom

Unit cell a=13.0433 b=4.0016 c=4.0225 alpha=90.00 beta=103.82 gamma=90.00
Space group C2/m (No. 12)
Asymmetric unit:
Pm 0.1150 0.0000 0.3765 x4
Si 0.1994 0.5000 0.9441 x4
B 0.0431 0.5000 0.8761 x4